Record 1
{"formula": "SrScSi2", "functional": "PBE", "state": "optimized geometry", "lattice_angstrom": [[-2.104, 2.104, 5.090], [2.104, -2.104, 5.090], [2.104, 2.104, -5.090]], "species": ["Sr", "Sc", "Si", "Si"], "frac_coords": [[0.000, 0.000, 0.000], [0.250, 0.750, 0.500], [0.500, 0.500, 0.000], [0.750, 0.250, 0.500]], "vol_a3_per_atom": 22.5, "raw_formation_energy_ev_per_atom": -0.03, "total_energy_ev_per_cell": -18.982, "n_ef_per_ev_atom": 1.0250}


Record 2
{"formula": "SrScSi2", "functional": "PBE", "state": "optimized geometry", "lattice_angstrom": [[-2.324, 2.324, 4.025], [2.324, -2.324, 4.025], [2.324, 2.324, -4.025]], "species": ["Sr", "Sc", "Si", "Si"], "frac_coords": [[0.000, 0.000, 0.000], [0.500, 0.500, 0.000], [0.250, 0.750, 0.500], [0.750, 0.250, 0.500]], "vol_a3_per_atom": 21.7, "raw_formation_energy_ev_per_atom": -0.17, "total_energy_ev_per_cell": -19.539, "n_ef_per_ev_atom": 0.5651}


Record 3
{"formula": "SrSc2Si2", "functional": "PBE", "state": "optimized geometry", "lattice_angstrom": [[-2.518, 2.518, 5.224], [2.518, -2.518, 5.224], [2.518, 2.518, -5.224]], "species": ["Sr", "Sc", "Sc", "Si", "Si"], "frac_coords": [[0.000, 0.000, 0.000], [0.327, 0.327, 0.000], [0.673, 0.673, 0.000], [0.250, 0.750, 0.500], [0.750, 0.250, 0.500]], "vol_a3_per_atom": 26.5, "raw_formation_energy_ev_per_atom": -0.27, "total_energy_ev_per_cell": -26.534, "n_ef_per_ev_atom": 0.5080}